An optimized crystal structure of AlZnSi2, computed with GGA-PBE.

abc: 4.787 4.787 2.848
angles: 90.00 90.00 109.03
Fractional positions:
1 Al 0.000 0.000 0.000
2 Zn 0.500 0.500 0.000
3 Si 0.000 0.500 0.500
4 Si 0.500 0.000 0.500

ΔE to the lowest computed polymorph = 87 meV per atom
Symmetry = Cmmm, No. 65
Formation energy from raw total energies = 307 meV per atom
Total DFT energy (no corrections) = -3.658 eV/atom